# BiH4Pd7

A relaxed structure of BiH4Pd7 (PBE-GGA, Alexandria via LeMat-Bulk).

Computed properties:
VASP energy ... -110.92 eV/cell
N(E_F) ... 0.32 states/eV per atom

CIF file:
```
data_BiH4Pd7
_chemical_formula_sum 'Bi2 H8 Pd14'
_space_group_name_H-M_alt 'P m n 21'
_space_group_IT_number 31
_cell_length_a 11.7848
_cell_length_b 5.1056
_cell_length_c 4.8957
_cell_angle_alpha 90.00
_cell_angle_beta 90.00
_cell_angle_gamma 90.00
loop_
_space_group_symop_operation_xyz
'x,y,z'
'-x+1/2,-y,z+1/2'
'-x,y,z'
'x+1/2,-y,z+1/2'
loop_
_atom_site_label
_atom_site_fract_x
_atom_site_fract_y
_atom_site_fract_z
Bi1 0.0000 0.1597 0.0000
H1 0.1226 0.6563 0.6425
H2 0.2490 0.1709 0.6361
Pd1 0.0000 0.8267 0.4962
Pd2 0.1229 0.3286 0.4948
Pd3 0.1232 0.6589 0.0114
Pd4 0.2481 0.8319 0.5075
```

***

# Bi3H2Pd9

A relaxed structure of Bi3H2Pd9 (PBE-GGA, Alexandria via LeMat-Bulk).

Computed properties:
VASP energy ... -67.72 eV/cell
N(E_F) ... 0.95 states/eV per atom

CIF file:
```
data_Bi3H2Pd9
_chemical_formula_sum 'Bi3 H2 Pd9'
_space_group_name_H-M_alt 'P -3 m 1'
_space_group_IT_number 164
_space_group_name_Hall '-P 3 2"'
_cell_length_a 5.9189
_cell_length_b 5.9189
_cell_length_c 7.2068
_cell_angle_alpha 90.00
_cell_angle_beta 90.00
_cell_angle_gamma 120.00
loop_
_atom_site_label
_atom_site_fract_x
_atom_site_fract_y
_atom_site_fract_z
Bi1 0.0000 0.0000 0.0000
Bi2 0.3333 0.6667 0.3357
H1 0.3333 0.6667 0.8056
Pd1 0.0000 0.5000 0.0000
Pd2 0.1664 0.3328 0.6674
```

***

# Bi2H2Pd5

A relaxed structure of Bi2H2Pd5 (PBE-GGA, Alexandria via LeMat-Bulk).

Computed properties:
VASP energy ... -84.09 eV/cell
N(E_F) ... 0.41 states/eV per atom

CIF file:
```
data_Bi2H2Pd5
_chemical_formula_sum 'Bi4 H4 Pd10'
_space_group_name_H-M_alt 'C 1 2/m 1'
_space_group_IT_number 12
_cell_length_a 11.0106
_cell_length_b 4.2057
_cell_length_c 6.5509
_cell_angle_alpha 90.00
_cell_angle_beta 109.95
_cell_angle_gamma 90.00
loop_
_space_group_symop_operation_xyz
'x,y,z'
'-x,-y,-z'
'-x,y,-z'
'x,-y,z'
'x+1/2,y+1/2,z'
'-x+1/2,-y+1/2,-z'
'-x+1/2,y+1/2,-z'
'x+1/2,-y+1/2,z'
loop_
_atom_site_label
_atom_site_fract_x
_atom_site_fract_y
_atom_site_fract_z
Bi1 0.1099 0.0000 0.3487
H1 0.1588 0.5000 0.9566
Pd1 0.0000 0.5000 0.0000
Pd2 0.1243 0.5000 0.6450
Pd3 0.1576 0.0000 0.9482
```